{
  "formula": "Cd2HgAu",
  "functional": "GGA-PBE",
  "state": "relaxed",
  "lattice_angstrom": [[3.266, 0.000, 0.000], [0.000, 4.749, 0.000], [-1.383, 0.000, 11.357]],
  "species": ["Cd", "Cd", "Cd", "Cd", "Hg", "Hg", "Au", "Au"],
  "frac_coords": [[0.050, 0.250, 0.120], [0.129, 0.750, 0.315], [0.871, 0.250, 0.685], [0.950, 0.750, 0.880], [0.337, 0.750, 0.589], [0.663, 0.250, 0.411], [0.456, 0.250, 0.898], [0.544, 0.750, 0.102]],
  "ef_kj_per_mol_fu": -31.6,
  "dos_at_fermi_per_ev_cell": 1.9
}



{
  "formula": "YPSN2",
  "functional": "GGA-PBE",
  "state": "relaxed",
  "lattice_angstrom": [[4.468, 0.000, 0.000], [0.000, 4.468, 0.000], [0.000, 0.000, 5.480]],
  "species": ["Y", "P", "S", "N", "N"],
  "frac_coords": [[0.000, 0.000, 0.000], [0.500, 0.500, 0.500], [0.000, 0.000, 0.500], [0.000, 0.500, 0.000], [0.500, 0.000, 0.000]],
  "dos_at_fermi_per_ev_cell": 3.7,
  "formation_energy_uncorrected_kcal_per_mol_atoms": 28.12
}



{
  "formula": "Dy5Tm2Tl",
  "functional": "GGA-PBE",
  "state": "relaxed",
  "lattice_angstrom": [[-3.508, 3.508, 4.885], [3.508, -3.508, 4.885], [3.508, 3.508, -4.885]],
  "species": ["Dy", "Dy", "Dy", "Dy", "Dy", "Tm", "Tm", "Tl"],
  "frac_coords": [[0.000, 0.000, 0.000], [0.000, 0.000, 0.500], [0.000, 0.500, 0.000], [0.500, 0.000, 0.000], [0.500, 0.500, 0.500], [0.000, 0.500, 0.500], [0.500, 0.000, 0.500], [0.500, 0.500, 0.000]],
  "ef_kj_per_mol_fu": -25.4,
  "dos_at_fermi_per_ev_cell": 10.6
}



{
  "formula": "PaTl2RhO6",
  "functional": "GGA-PBE",
  "state": "relaxed",
  "lattice_angstrom": [[3.008, 1.736, 10.111], [-3.008, 1.736, 10.111], [0.000, -3.473, 10.111]],
  "species": ["Pa", "Pa", "Tl", "Tl", "Tl", "Tl", "Rh", "Rh", "O", "O", "O", "O", "O", "O", "O", "O", "O", "O", "O", "O"],
  "frac_coords": [[0.093, 0.093, 0.093], [0.907, 0.907, 0.907], [0.213, 0.213, 0.213], [0.353, 0.353, 0.353], [0.647, 0.647, 0.647], [0.787, 0.787, 0.787], [0.000, 0.000, 0.000], [0.500, 0.500, 0.500], [0.113, 0.113, 0.654], [0.113, 0.654, 0.113], [0.217, 0.696, 0.696], [0.304, 0.304, 0.783], [0.304, 0.783, 0.304], [0.346, 0.887, 0.887], [0.654, 0.113, 0.113], [0.696, 0.217, 0.696], [0.696, 0.696, 0.217], [0.783, 0.304, 0.304], [0.887, 0.346, 0.887], [0.887, 0.887, 0.346]],
  "dos_at_fermi_per_ev_cell": 14.5,
  "formation_energy_uncorrected_kcal_per_mol_atoms": -36.45
}